# 1
This record from Alexandria describes crystalline LiAsBr4 at its relaxed geometry. The functional is PBE.

Size of the total moment ... 0.00 μB per formula unit
Uncorrected formation energy ... -4.63 eV/f.u.
Calculated total energy ... -0.1095 Ha/atom
Crystal system ... monoclinic
Calculated density ... 3.54 g/cm3
ΔE to the lowest computed polymorph ... 0.000 eV per atom

Unit cell a=6.799 b=6.820 c=9.493 alpha=103.56 beta=103.47 gamma=110.38
Atoms (fractional coordinates):
Br: 0.927 0.195 0.897
Li: 0.185 0.935 0.870
As: 0.324 0.574 0.147
Br: 0.822 0.563 0.663
Br: 0.073 0.805 0.103
As: 0.676 0.426 0.853
Br: 0.659 0.900 0.337
Br: 0.341 0.100 0.663
Br: 0.530 0.298 0.103
Br: 0.470 0.702 0.897
Li: 0.815 0.065 0.130
Br: 0.178 0.437 0.337


# 2
This record from Alexandria describes crystalline LiAsBr4 at its relaxed geometry. The functional is PBE.

Size of the total moment ... 2.08 μB per formula unit
Uncorrected formation energy ... 2.77 eV/f.u.
Calculated total energy ... -0.0642 Ha/atom
Crystal system ... cubic
Calculated density ... 3.60 g/cm3
ΔE to the lowest computed polymorph ... 1.233 eV per atom

Unit cell a=6.400 b=6.400 c=6.400 alpha=60.00 beta=60.00 gamma=60.00
Each line ends with the local moment (μB).
Atoms (fractional coordinates):
Br: 0.375 0.375 0.875  -0.06
Br: 0.875 0.375 0.375  -0.06
Br: 0.375 0.375 0.375  -0.06
Br: 0.375 0.875 0.375  -0.06
Li: 0.750 0.750 0.750  0.01
As: 0.000 0.000 0.000  1.06


# 3
This record from Alexandria describes crystalline LiAs2Br at its relaxed geometry. The functional is PBE.

Size of the total moment ... 0.00 μB per formula unit
Uncorrected formation energy ... -0.22 eV/f.u.
Calculated total energy ... -0.1204 Ha/atom
Crystal system ... orthorhombic
Calculated density ... 3.75 g/cm3
ΔE to the lowest computed polymorph ... 0.610 eV per atom

Unit cell a=7.653 b=7.653 c=2.922 alpha=90.00 beta=90.00 gamma=142.25
Atoms (fractional coordinates):
As: 0.000 0.000 0.000
As: 0.500 0.500 0.000
Li: 0.000 0.500 0.500
Br: 0.500 0.000 0.500


# 4
This record from Alexandria describes crystalline Li2AsBr at its relaxed geometry. The functional is PBE.

Size of the total moment ... 0.00 μB per formula unit
Uncorrected formation energy ... -2.79 eV/f.u.
Calculated total energy ... -0.1189 Ha/atom
Crystal system ... tetragonal
Calculated density ... 3.69 g/cm3
ΔE to the lowest computed polymorph ... 0.047 eV per atom

Unit cell a=3.227 b=3.227 c=7.295 alpha=90.00 beta=90.00 gamma=90.00
Atoms (fractional coordinates):
Li: 0.000 0.000 0.517
Br: 0.500 0.500 0.750
As: 0.500 0.500 0.250
Li: 0.000 0.000 0.983